{
  "formula": "UVCd2O6",
  "functional": "PBE with a Hubbard U",
  "state": "optimized geometry",
  "cell": [[5.5926, 0.0000, 0.0000], [0.0000, 5.7184, 0.0000], [-5.5425, 0.0000, 8.0901]],
  "species": ["U", "U", "V", "V", "Cd", "Cd", "Cd", "Cd", "O", "O", "O", "O", "O", "O", "O", "O", "O", "O", "O", "O"],
  "fractional_positions": [[0.0000, 0.0000, 0.0000], [0.0000, 0.5000, 0.5000], [0.5000, 0.0000, 0.5000], [0.5000, 0.5000, 0.0000], [0.2409, 0.0431, 0.7493], [0.2409, 0.4569, 0.2493], [0.7591, 0.5431, 0.7507], [0.7591, 0.9569, 0.2507], [0.1344, 0.1932, 0.4418], [0.1344, 0.3068, 0.9418], [0.2573, 0.7041, 0.4404], [0.2573, 0.7959, 0.9404], [0.3689, 0.0493, 0.2603], [0.3689, 0.4507, 0.7603], [0.6311, 0.5493, 0.2397], [0.6311, 0.9507, 0.7397], [0.7427, 0.2041, 0.0596], [0.7427, 0.2959, 0.5596], [0.8656, 0.6932, 0.0582], [0.8656, 0.8068, 0.5582]],
  "magmom_total_mub_per_fu": 2.986,
  "final_energy_ev_per_atom": -7.0918
}